Entry from Alexandria via LeMat-Bulk: an optimized crystal structure of Ca3TmPa2P6 (GGA-PBE).

M_tot: 0.0 μB/cell
N(E_F): 5.545 states/eV per cell
energy of formation from the pure elements: -1.32 eV per atom

The structure in CIF format:
```
data_Ca3TmPa2P6
_chemical_formula_sum 'Ca3 Tm1 Pa2 P6'
_cell_length_a 7.009
_cell_length_b 7.009
_cell_length_c 7.029
_cell_angle_alpha 99.56
_cell_angle_beta 99.56
_cell_angle_gamma 119.99
_symmetry_space_group_name_H-M 'P 1'
_symmetry_Int_Tables_number 1
loop_
_symmetry_equiv_pos_as_xyz
'x,y,z'
loop_
_atom_site_label
_atom_site_type_symbol
_atom_site_fract_x
_atom_site_fract_y
_atom_site_fract_z
P1 P 0.262 0.262 0.770
P2 P 0.738 0.738 0.230
P3 P 0.585 0.923 0.771
P4 P 0.923 0.585 0.771
P5 P 0.077 0.415 0.229
P6 P 0.415 0.077 0.229
Ca1 Ca 0.165 0.835 0.500
Ca2 Ca 0.500 0.500 0.500
Ca3 Ca 0.835 0.165 0.500
Tm1 Tm 0.000 0.000 0.000
Pa1 Pa 0.333 0.667 0.000
Pa2 Pa 0.667 0.333 0.000
```